Density functional theory data (PBE) for a geometry-optimized I6BrCl2 structure.

Values from the calculation:
The calculation puts the total DFT energy (no corrections) at -1.62 eV per atom. The size of the total moment comes out at 0.0 Bohr magnetons per cell. The density of states at the Fermi level comes out at 5.39 states/eV/f.u.

Unit cell a=14.0563 b=16.8477 c=8.1792 alpha=90.00 beta=102.14 gamma=90.00
Space group C2/c (No. 15)
Asymmetric unit:
I (0.0343, 0.1308, 0.1011) (multiplicity 8)
I (0.1175, 0.4004, 0.5349) (multiplicity 8)
I (0.2233, 0.3532, 0.2917) (multiplicity 8)
Br (0.0000, 0.3506, 0.7500) (multiplicity 4)
Cl (0.1832, 0.1095, 0.9464) (multiplicity 8)

=====

Density functional theory data (PBE) for a geometry-optimized I3BrCl9 structure.

Values from the calculation:
The calculation puts the total DFT energy (no corrections) at -1.88 eV per atom. The size of the total moment comes out at 3.7 Bohr magnetons per cell. The density of states at the Fermi level comes out at 3.66 states/eV/f.u.

Unit cell a=20.5236 b=11.8598 c=11.9488 alpha=90.00 beta=122.45 gamma=90.00
Space group Cc (No. 9)
Asymmetric unit:
I (0.0000, 0.0314, 0.0000) (multiplicity 4)
I (0.0588, 0.3459, 0.4044) (multiplicity 4)
I (0.3410, 0.2222, 0.9025) (multiplicity 4)
Br (0.2248, 0.2181, 0.1467) (multiplicity 4)
Cl (0.0772, 0.1525, 0.9473) (multiplicity 4)
Cl (0.1153, 0.4690, 0.9753) (multiplicity 4)
Cl (0.1307, 0.3017, 0.3044) (multiplicity 4)
Cl (0.2213, 0.3248, 0.8055) (multiplicity 4)
Cl (0.2794, 0.0528, 0.7819) (multiplicity 4)
Cl (0.3378, 0.2970, 0.2867) (multiplicity 4)
Cl (0.4189, 0.4079, 0.0612) (multiplicity 4)
Cl (0.4760, 0.1120, 0.0217) (multiplicity 4)
Cl (0.4817, 0.3433, 0.8157) (multiplicity 4)

=====

Density functional theory data (PBE) for a geometry-optimized I2Br3Cl6 structure.

Values from the calculation:
The calculation puts the total DFT energy (no corrections) at -1.76 eV per atom. The size of the total moment comes out at 4.3 Bohr magnetons per cell. The density of states at the Fermi level comes out at 4.61 states/eV/f.u.

Unit cell a=15.7770 b=8.0676 c=15.6129 alpha=90.00 beta=90.79 gamma=90.00
Space group C2/c (No. 15)
Asymmetric unit:
I (0.1571, 0.0335, 0.4987) (multiplicity 8)
Br (0.0000, 0.3308, 0.2500) (multiplicity 4)
Br (0.1583, 0.1355, 0.7507) (multiplicity 8)
Cl (0.0758, 0.1730, 0.6206) (multiplicity 8)
Cl (0.0885, 0.3571, 0.3712) (multiplicity 8)
Cl (0.2428, 0.1029, 0.8799) (multiplicity 8)

=====

Density functional theory data (PBE) for a geometry-optimized I4BrCl structure.

Values from the calculation:
The calculation puts the total DFT energy (no corrections) at -1.59 eV per atom. The size of the total moment comes out at 0.0 Bohr magnetons per cell. The density of states at the Fermi level comes out at 2.67 states/eV/f.u.

Unit cell a=8.3590 b=9.7485 c=10.4813 alpha=91.31 beta=107.93 gamma=93.88
Space group P-1 (No. 2)
Asymmetric unit:
I (0.0109, 0.4929, 0.2263) (multiplicity 2)
I (0.2311, 0.9013, 0.0990) (multiplicity 2)
I (0.2922, 0.5249, 0.6911) (multiplicity 2)
I (0.3467, 0.4088, 0.2476) (multiplicity 2)
Br (0.0042, 0.9906, 0.8146) (multiplicity 2)
Cl (0.4626, 0.7927, 0.0472) (multiplicity 2)

=====

Density functional theory data (PBE) for a geometry-optimized IBrCl2 structure.

Values from the calculation:
The calculation puts the total DFT energy (no corrections) at -1.37 eV per atom. The size of the total moment comes out at 3.3 Bohr magnetons per cell. The density of states at the Fermi level comes out at 12.53 states/eV/f.u. The polymorph energy (0 for the lowest one) comes out at 47.9 kJ/mol of atoms.

Unit cell a=7.3041 b=7.3041 c=15.6525 alpha=90.00 beta=90.00 gamma=90.00
Space group I4_1/amd (No. 141, origin choice 2)
Asymmetric unit:
I (0.0000, 0.2500, 0.3750) (multiplicity 4)
Br (0.0000, 0.2500, 0.8750) (multiplicity 4)
Cl (0.0000, 0.0000, 0.5000) (multiplicity 8)

=====

Density functional theory data (PBE) for a geometry-optimized I3Br2Cl8 structure.

Values from the calculation:
The calculation puts the total DFT energy (no corrections) at -1.82 eV per atom. The size of the total moment comes out at 3.0 Bohr magnetons per cell. The density of states at the Fermi level comes out at 4.63 states/eV/f.u.

Unit cell a=13.9898 b=9.8895 c=20.6914 alpha=90.00 beta=100.81 gamma=90.00
Space group C2/c (No. 15)
Asymmetric unit:
I (0.0000, 0.1353, 0.2500) (multiplicity 4)
I (0.1421, 0.4754, 0.5484) (multiplicity 8)
Br (0.1553, 0.0683, 0.6320) (multiplicity 8)
Cl (0.0164, 0.3316, 0.9696) (multiplicity 8)
Cl (0.0646, 0.1415, 0.1420) (multiplicity 8)
Cl (0.2077, 0.1014, 0.9320) (multiplicity 8)
Cl (0.2504, 0.2390, 0.3758) (multiplicity 8)

=====

Density functional theory data (PBE) for a geometry-optimized IBrCl4 structure.

Values from the calculation:
The calculation puts the total DFT energy (no corrections) at -1.76 eV per atom. The size of the total moment comes out at 0.0 Bohr magnetons per cell. The density of states at the Fermi level comes out at 0.25 states/eV/f.u.

Unit cell a=5.2262 b=6.6290 c=8.1115 alpha=110.65 beta=94.81 gamma=90.19
Space group P1 (No. 1)
Asymmetric unit:
I (0.0000, 0.0000, 0.0000) (multiplicity 1)
Br (0.4837, 0.0735, 0.9416) (multiplicity 1)
Cl (0.3423, 0.6588, 0.3836) (multiplicity 1)
Cl (0.6776, 0.7083, 0.3001) (multiplicity 1)
Cl (0.8589, 0.2247, 0.5642) (multiplicity 1)
Cl (0.9270, 0.5370, 0.7371) (multiplicity 1)

=====

Density functional theory data (PBE) for a geometry-optimized I4Br5Cl2 structure.

Values from the calculation:
The calculation puts the total DFT energy (no corrections) at -1.65 eV per atom. The size of the total moment comes out at 0.0 Bohr magnetons per cell. The density of states at the Fermi level comes out at 2.85 states/eV/f.u.

Unit cell a=13.1437 b=11.4346 c=9.8855 alpha=90.00 beta=128.01 gamma=90.00
Space group C2/m (No. 12)
Asymmetric unit:
I (0.2256, 0.0000, 0.2900) (multiplicity 4)
I (0.2407, 0.5000, 0.3469) (multiplicity 4)
Br (0.0000, 0.0000, 0.5000) (multiplicity 2)
Br (0.2212, 0.2476, 0.2958) (multiplicity 8)
Cl (0.2036, 0.0000, 0.0305) (multiplicity 4)